Arrangement w

# NbPtRh, optimized geometry, DFT GGA-PBE
data_NbPtRh
_cell_length_a 4.166
_cell_length_b 4.665
_cell_length_c 5.600
_cell_angle_alpha 90.00
_cell_angle_beta 90.00
_cell_angle_gamma 116.53
_symmetry_space_group_name_H-M 'P 1'
_symmetry_Int_Tables_number 1
loop_
_symmetry_equiv_pos_as_xyz
'x,y,z'
loop_
_atom_site_label
_atom_site_type_symbol
_atom_site_fract_x
_atom_site_fract_y
_atom_site_fract_z
Rh1 Rh 0.152 0.304 0.750
Rh2 Rh 0.848 0.696 0.250
Nb1 Nb 0.500 0.000 0.500
Nb2 Nb 0.500 0.000 0.000
Pt1 Pt 0.161 0.322 0.250
Pt2 Pt 0.839 0.678 0.750
# **Crystal system**: orthorhombic

---

Arrangement x

# NbPtRh, optimized geometry, DFT GGA-PBE
data_NbPtRh
_cell_length_a 3.351
_cell_length_b 3.351
_cell_length_c 4.929
_cell_angle_alpha 109.87
_cell_angle_beta 109.87
_cell_angle_gamma 90.00
_symmetry_space_group_name_H-M 'P 1'
_symmetry_Int_Tables_number 1
loop_
_symmetry_equiv_pos_as_xyz
'x,y,z'
loop_
_atom_site_label
_atom_site_type_symbol
_atom_site_fract_x
_atom_site_fract_y
_atom_site_fract_z
Nb1 Nb 0.613 0.613 0.226
Rh1 Rh 0.959 0.959 0.918
Pt1 Pt 0.278 0.278 0.556
# **Crystal system**: tetragonal

---

It comes down to arrangement x, which is 158 meV per atom more stable than the next structure.

---

Arrangement w

# NbPtRh, optimized geometry, DFT GGA-PBE
data_NbPtRh
_cell_length_a 4.504
_cell_length_b 4.504
_cell_length_c 5.522
_cell_angle_alpha 90.00
_cell_angle_beta 90.00
_cell_angle_gamma 120.00
_symmetry_space_group_name_H-M 'P 1'
_symmetry_Int_Tables_number 1
loop_
_symmetry_equiv_pos_as_xyz
'x,y,z'
loop_
_atom_site_label
_atom_site_type_symbol
_atom_site_fract_x
_atom_site_fract_y
_atom_site_fract_z
Pt1 Pt 0.667 0.833 0.250
Pt2 Pt 0.333 0.167 0.750
Rh1 Rh 0.000 0.500 0.000
Rh2 Rh 0.000 0.500 0.500
Nb1 Nb 0.333 0.167 0.250
Nb2 Nb 0.667 0.833 0.750
# **Crystal system**: hexagonal

---

Arrangement x

# NbPtRh, optimized geometry, DFT GGA-PBE
data_NbPtRh
_cell_length_a 2.780
_cell_length_b 4.474
_cell_length_c 4.474
_cell_angle_alpha 120.00
_cell_angle_beta 90.00
_cell_angle_gamma 90.00
_symmetry_space_group_name_H-M 'P 1'
_symmetry_Int_Tables_number 1
loop_
_symmetry_equiv_pos_as_xyz
'x,y,z'
loop_
_atom_site_label
_atom_site_type_symbol
_atom_site_fract_x
_atom_site_fract_y
_atom_site_fract_z
Nb1 Nb 0.667 0.667 0.333
Rh1 Rh 0.167 0.333 0.667
Pt1 Pt 0.166 0.000 0.000
# **Crystal system**: hexagonal

---

Arrangement y

# NbPtRh, optimized geometry, DFT GGA-PBE
data_NbPtRh
_cell_length_a 4.023
_cell_length_b 3.937
_cell_length_c 6.329
_cell_angle_alpha 108.12
_cell_angle_beta 90.00
_cell_angle_gamma 90.00
_symmetry_space_group_name_H-M 'P 1'
_symmetry_Int_Tables_number 1
loop_
_symmetry_equiv_pos_as_xyz
'x,y,z'
loop_
_atom_site_label
_atom_site_type_symbol
_atom_site_fract_x
_atom_site_fract_y
_atom_site_fract_z
Pt1 Pt 0.250 0.421 0.843
Pt2 Pt 0.750 0.579 0.157
Nb1 Nb 0.750 0.901 0.801
Nb2 Nb 0.250 0.099 0.199
Rh1 Rh 0.250 0.750 0.501
Rh2 Rh 0.750 0.250 0.499
# **Crystal system**: orthorhombic

---

It comes down to arrangement y, which is 83 meV per atom more stable than the next structure.